Entry 1:
DFT (PBE) results for a relaxed structure of CrH3Br.

Structure (POSCAR):
```
CrH3Br
1.0
3.674 0.000 0.000
0.000 3.674 0.000
0.000 0.000 3.674
Cr H Br
1 3 1
direct
0.000 0.000 0.000
0.000 0.000 0.500
0.000 0.500 0.000
0.500 0.000 0.000
0.500 0.500 0.500
```

Summary:
space-group type	No. 221
raw total energy	-3.71	eV/atom
excess energy over the best structure of this formula in the dataset	0	meV/atom



Entry 2:
DFT (PBE) results for a relaxed structure of Ba2CdInRh.

Structure (POSCAR):
```
Ba2CdInRh
1.0
6.336 0.000 0.000
0.000 6.336 0.000
0.000 0.000 5.127
Ba Cd In Rh
2 1 1 1
direct
0.000 0.500 0.000
0.500 0.000 0.000
0.000 0.000 0.000
0.000 0.000 0.500
0.500 0.500 0.500
```

Summary:
space-group type	No. 123
energy of formation from the pure elements	526	meV per atom
raw total energy	-2.44	eV/atom
excess energy over the best structure of this formula in the dataset	803	meV/atom



Entry 3:
DFT (PBE) results for a relaxed structure of AgRh3S.

Structure (POSCAR):
```
AgRh3S
1.0
4.841 0.000 0.000
0.000 4.841 0.000
0.000 0.000 4.841
Ag Rh S
1 3 1
direct
0.000 0.000 0.000
0.000 0.000 0.500
0.000 0.500 0.000
0.500 0.000 0.000
0.500 0.500 0.500
```

Summary:
E_form (uncorrected)	1.97	eV/atom
space-group type	No. 221
raw total energy	-3.84	eV/atom
excess energy over the best structure of this formula in the dataset	1825	meV/atom



Entry 4:
DFT (PBE) results for a relaxed structure of Y2RuPt.

Structure (POSCAR):
```
Y2RuPt
1.0
3.939 0.000 0.000
0.000 4.188 0.000
0.000 0.000 10.064
Y Ru Pt
4 2 2
direct
0.000 0.000 0.000
0.000 0.500 0.244
0.500 0.000 0.744
0.500 0.500 0.500
0.000 0.500 0.747
0.500 0.000 0.247
0.000 0.000 0.494
0.500 0.500 0.994
```

Summary:
space-group type	No. 44
energy of formation from the pure elements	-529	meV per atom
raw total energy	-7.59	eV/atom



Entry 5:
DFT (PBE) results for a relaxed structure of HfSc2Ge4.

Structure (POSCAR):
```
HfSc2Ge4
1.0
5.019 0.000 0.000
0.000 5.019 0.000
0.000 0.000 13.691
Hf Sc Ge
2 4 8
direct
0.000 0.000 0.000
0.500 0.500 0.500
0.000 0.000 0.391
0.000 0.000 0.609
0.500 0.500 0.109
0.500 0.500 0.891
0.000 0.000 0.193
0.000 0.000 0.807
0.000 0.500 0.000
0.000 0.500 0.500
0.500 0.000 0.000
0.500 0.000 0.500
0.500 0.500 0.307
0.500 0.500 0.693
```

Summary:
space-group type	No. 139
energy of formation from the pure elements	-75	meV per atom
raw total energy	-5.94	eV/atom



Entry 6:
DFT (PBE) results for a relaxed structure of Ho2ScO.

Structure (POSCAR):
```
Ho2ScO
1.0
3.115 0.000 0.000
0.000 3.115 0.000
0.000 0.000 8.396
Ho Sc O
2 1 1
direct
0.000 0.000 0.182
0.000 0.000 0.818
0.500 0.500 0.500
0.500 0.500 0.000
```

Summary:
E_form (uncorrected)	-0.87	eV/atom
space-group type	No. 123
raw total energy	-5.98	eV/atom
excess energy over the best structure of this formula in the dataset	473	meV/atom



Entry 7:
DFT (PBE) results for a relaxed structure of CdFeTe2.

Structure (POSCAR):
```
CdFeTe2
1.0
4.487 0.000 0.000
0.000 4.486 0.000
-0.002 0.000 6.352
Cd Fe Te
1 1 2
direct
0.000 0.000 0.000
0.501 0.500 0.500
0.001 0.500 0.721
0.500 0.000 0.279
```

Summary:
E_form (uncorrected)	-0.05	eV/atom
space-group type	No. 6
raw total energy	-3.97	eV/atom



Entry 8:
DFT (PBE) results for a relaxed structure of LaPrCo4.

Structure (POSCAR):
```
LaPrCo4
1.0
0.000 3.654 3.654
3.654 0.000 3.654
3.654 3.654 0.000
La Pr Co
1 1 4
direct
0.000 0.000 0.000
0.250 0.250 0.250
0.125 0.625 0.625
0.625 0.125 0.625
0.625 0.625 0.125
0.625 0.625 0.625
```

Summary:
space-group type	No. 216
energy of formation from the pure elements	-12	meV per atom
raw total energy	-6.37	eV/atom
excess energy over the best structure of this formula in the dataset	47	meV/atom



Entry 9:
DFT (PBE) results for a relaxed structure of GePd2Rh2.

Structure (POSCAR):
```
GePd2Rh2
1.0
6.219 0.000 0.000
0.000 6.219 0.000
0.000 0.000 4.142
Ge Pd Rh
2 4 4
direct
0.000 0.000 0.000
0.500 0.500 0.000
0.163 0.337 0.500
0.337 0.837 0.500
0.663 0.163 0.500
0.837 0.663 0.500
0.143 0.643 0.000
0.357 0.143 0.000
0.643 0.857 0.000
0.857 0.357 0.000
```

Summary:
space-group type	No. 127
energy of formation from the pure elements	-39	meV per atom
raw total energy	-5.98	eV/atom



Entry 10:
DFT (PBE) results for a relaxed structure of MgNbAu.

Structure (POSCAR):
```
MgNbAu
1.0
4.698 0.000 0.000
0.000 8.122 0.000
0.000 0.000 5.855
Mg Nb Au
4 4 4
direct
0.000 0.000 0.000
0.000 0.000 0.500
0.500 0.500 0.000
0.500 0.500 0.500
0.000 0.334 0.250
0.000 0.666 0.750
0.500 0.166 0.750
0.500 0.834 0.250
0.000 0.333 0.750
0.000 0.667 0.250
0.500 0.167 0.250
0.500 0.833 0.750
```

Summary:
space-group type	No. 63
energy of formation from the pure elements	-25	meV per atom
raw total energy	-5.01	eV/atom



Entry 11:
DFT (PBE) results for a relaxed structure of CdTc2C.

Structure (POSCAR):
```
CdTc2C
1.0
6.036 0.000 0.000
0.000 6.036 0.000
0.000 0.000 6.036
Cd Tc C
4 8 4
direct
0.000 0.000 0.000
0.000 0.500 0.500
0.500 0.000 0.500
0.500 0.500 0.000
0.250 0.250 0.250
0.250 0.250 0.750
0.250 0.750 0.250
0.250 0.750 0.750
0.750 0.250 0.250
0.750 0.250 0.750
0.750 0.750 0.250
0.750 0.750 0.750
0.000 0.000 0.500
0.000 0.500 0.000
0.500 0.000 0.000
0.500 0.500 0.500
```

Summary:
space-group type	No. 225
energy of formation from the pure elements	1622	meV per atom
raw total energy	-6.10	eV/atom
excess energy over the best structure of this formula in the dataset	624	meV/atom



Entry 12:
DFT (PBE) results for a relaxed structure of Si2AgPt.

Structure (POSCAR):
```
Si2AgPt
1.0
2.764 0.000 0.000
0.000 4.388 0.000
0.000 0.000 5.311
Si Ag Pt
2 1 1
direct
0.000 0.000 0.000
0.500 0.000 0.500
0.000 0.500 0.500
0.500 0.500 0.000
```

Summary:
E_form (uncorrected)	0.18	eV/atom
space-group type	No. 47
raw total energy	-4.76	eV/atom
excess energy over the best structure of this formula in the dataset	301	meV/atom



Entry 13:
DFT (PBE) results for a relaxed structure of Pd2PbAu.

Structure (POSCAR):
```
Pd2PbAu
1.0
4.111 0.000 0.000
0.000 4.111 0.000
0.000 0.000 19.177
Pd Pb Au
8 4 4
direct
0.239 0.250 0.125
0.250 0.739 0.375
0.250 0.761 0.875
0.261 0.250 0.625
0.739 0.750 0.625
0.750 0.239 0.875
0.750 0.261 0.375
0.761 0.750 0.125
0.000 0.000 0.500
0.000 0.500 0.750
0.500 0.000 0.250
0.500 0.500 0.000
0.000 0.000 0.000
0.000 0.500 0.250
0.500 0.000 0.750
0.500 0.500 0.500
```

Summary:
space-group type	No. 122
energy of formation from the pure elements	18	meV per atom
raw total energy	-4.32	eV/atom



Entry 14:
DFT (PBE) results for a relaxed structure of KMnRh.

Structure (POSCAR):
```
KMnRh
1.0
4.188 0.000 0.000
-2.094 3.627 0.000
0.000 0.000 5.383
K Mn Rh
1 1 1
direct
0.000 0.000 0.000
0.667 0.333 0.500
0.333 0.667 0.500
```

Summary:
space-group type	No. 187
energy of formation from the pure elements	592	meV per atom
raw total energy	-5.28	eV/atom
excess energy over the best structure of this formula in the dataset	202	meV/atom